Below is a geometry-optimized TiInSn2 structure, with properties calculated at the PBE level.

It has space group R3m (No. 160, hexagonal axes), with a = 4.4654 Å, b = 4.4654 Å, c = 17.7097 Å, α = 90.00°, β = 90.00° and γ = 120.00°. The distinct sites, in fractional coordinates, are Ti at (0.0000, 0.0000, 0.0000), In at (0.0000, 0.0000, 0.1697), Sn at (0.0000, 0.0000, 0.4009) and Sn at (0.0000, 0.0000, 0.5951).

For the energy of formation from the pure elements, the calculation gives 0.10 eV per atom. As for the volume: 25.48 Å³/atom. As for the energy: -4.56 eV/atom.

Below is a geometry-optimized ZrSc3Ir structure, with properties calculated at the PBE level.

It has space group Pm-3m (No. 221), with a = 4.8613 Å, b = 4.8613 Å, c = 4.8613 Å, α = 90.00°, β = 90.00° and γ = 90.00°. The distinct sites, in fractional coordinates, are Zr at (0.0000, 0.0000, 0.0000), Sc at (0.0000, 0.0000, 0.5000) and Ir at (0.5000, 0.5000, 0.5000).

For the energy of formation from the pure elements, the calculation gives 1.06 eV per atom. The calculation puts the energy above the most stable polymorph in this dataset at 1482.1 meV/atom. As for the volume: 22.98 Å³/atom. As for the energy: -6.22 eV/atom.

Below is a geometry-optimized CuAgMo2 structure, with properties calculated at the PBE level.

It has space group P4/mmm (No. 123), with a = 3.7148 Å, b = 3.7148 Å, c = 4.4214 Å, α = 90.00°, β = 90.00° and γ = 90.00°. The distinct sites, in fractional coordinates, are Cu at (0.0000, 0.0000, 0.0000), Ag at (0.5000, 0.5000, 0.0000) and Mo at (0.0000, 0.5000, 0.5000).

For the energy of formation from the pure elements, the calculation gives 0.39 eV per atom. The calculation puts the energy above the most stable polymorph in this dataset at 159.0 meV/atom. As for the volume: 15.25 Å³/atom. As for the energy: -6.76 eV/atom.

Below is a geometry-optimized YGa2Co2 structure, with properties calculated at the PBE level.

It has space group P4/mbm (No. 127), with a = 7.2456 Å, b = 7.2456 Å, c = 2.8693 Å, α = 90.00°, β = 90.00° and γ = 90.00°. The distinct sites, in fractional coordinates, are Y at (0.0000, 0.0000, 0.0000), Ga at (0.1498, 0.3502, 0.5000) and Co at (0.1405, 0.6405, 0.0000).

For the energy of formation from the pure elements, the calculation gives -0.24 eV per atom. As for the volume: 15.06 Å³/atom. As for the energy: -5.59 eV/atom.

Below is a geometry-optimized GaSnGe structure, with properties calculated at the PBE level.

It has space group R-3m (No. 166, hexagonal axes), with a = 4.1255 Å, b = 4.1255 Å, c = 28.6363 Å, α = 90.00°, β = 90.00° and γ = 120.00°. The distinct sites, in fractional coordinates, are Ga at (0.0000, 0.0000, 0.0912), Sn at (0.0000, 0.0000, 0.3675) and Ge at (0.0000, 0.0000, 0.1924).

For the energy of formation from the pure elements, the calculation gives 0.13 eV per atom. The calculation puts the energy above the most stable polymorph in this dataset at 27.6 meV/atom. As for the volume: 23.45 Å³/atom. As for the energy: -3.75 eV/atom.

Below is a geometry-optimized Re2Sn2Se structure, with properties calculated at the PBE level.

It has space group P4/mbm (No. 127), with a = 7.5865 Å, b = 7.5865 Å, c = 3.3197 Å, α = 90.00°, β = 90.00° and γ = 90.00°. The distinct sites, in fractional coordinates, are Re at (0.1328, 0.3672, 0.0000), Sn at (0.1617, 0.6617, 0.5000) and Se at (0.0000, 0.0000, 0.0000).

The calculation puts the energy above the most stable polymorph in this dataset at 0.0 meV/atom. The uncorrected formation energy is 631 meV/atom. As for the volume: 19.11 Å³/atom. As for the energy: -6.65 eV/atom.